DFT (GGA-PBE) results for InBiS2 after structural relaxation.

## Properties
N(E_F) in states/eV/f.u.: 0.0
Raw formation energy in eV per atom: -0.325

Geometry as CIF:
```
data_InBiS2
_cell_length_a 9.451
_cell_length_b 3.963
_cell_length_c 12.804
_cell_angle_alpha 90.00
_cell_angle_beta 104.58
_cell_angle_gamma 90.00
_space_group_name_H-M_alt 'P 1'
_space_group_IT_number 1
_space_group_name_Hall 'P 1'
loop_
_atom_site_label
_atom_site_type_symbol
_atom_site_fract_x
_atom_site_fract_y
_atom_site_fract_z
In1 In 0.149 0.250 0.450
In2 In 0.149 0.250 0.950
In3 In 0.851 0.750 0.050
In4 In 0.851 0.750 0.550
Bi1 Bi 0.320 0.249 0.267
Bi2 Bi 0.320 0.251 0.767
Bi3 Bi 0.680 0.749 0.233
Bi4 Bi 0.680 0.751 0.733
S1 S 0.148 0.750 0.091
S2 S 0.148 0.750 0.591
S3 S 0.480 0.749 0.376
S4 S 0.480 0.751 0.876
S5 S 0.520 0.249 0.124
S6 S 0.520 0.251 0.624
S7 S 0.852 0.250 0.409
S8 S 0.852 0.250 0.909
```